Compound: ReSe2Cl
Source: Alexandria via LeMat-Bulk
Functional: GGA-PBE
Structure: optimized geometry

Output
The density of states at the Fermi level comes out at 3.814 states/eV/cell. As for the final energy: -4.327 eV per atom. The polymorph energy (0 for the lowest one) comes out at 1.1041 eV per atom. The space group is P4/mmm (123). For the magnetization, the calculation gives 0.549 Bohr magnetons per cell.

Cell: 4.809 4.809 3.017 Å, 90.00 90.00 90.00°
Site moments in Bohr magnetons follow the coordinates.
Fractional positions:
Cl  0.500  0.000  0.500  0.01
Se  0.500  0.500  0.000  -0.03
Se  0.000  0.000  0.000  -0.03
Re  0.000  0.500  0.500  0.56

---

Compound: ReSe2Cl
Source: Alexandria via LeMat-Bulk
Functional: GGA-PBE
Structure: optimized geometry

Output
The density of states at the Fermi level comes out at 3.817 states/eV/cell. As for the final energy: -4.871 eV per atom. The polymorph energy (0 for the lowest one) comes out at 0.5598 eV per atom. The space group is Cmmm (65). For the magnetization, the calculation gives 0.000 Bohr magnetons per cell.

Cell: 2.931 2.931 10.482 Å, 90.00 90.00 117.02°
Fractional positions:
Se  0.000  0.000  0.948
Se  0.000  0.000  0.552
Re  0.500  0.500  0.750
Cl  0.500  0.500  0.250

---

Compound: ReSe2Cl
Source: Alexandria via LeMat-Bulk
Functional: GGA-PBE
Structure: optimized geometry

Output
The density of states at the Fermi level comes out at 1.589 states/eV/cell. As for the final energy: -5.412 eV per atom. The polymorph energy (0 for the lowest one) comes out at 0.0188 eV per atom. The space group is Cm (8). For the magnetization, the calculation gives 0.000 Bohr magnetons per cell.

Cell: 6.700 6.700 6.588 Å, 60.65 60.65 26.59°
Fractional positions:
Se  0.899  0.899  0.109
Se  0.755  0.755  0.833
Cl  0.597  0.597  0.431
Re  0.249  0.249  0.127

---

Compound: ReSeCl3
Source: Alexandria via LeMat-Bulk
Functional: GGA-PBE
Structure: optimized geometry

Output
The density of states at the Fermi level comes out at 4.263 states/eV/cell. As for the final energy: -4.596 eV per atom. The polymorph energy (0 for the lowest one) comes out at 0.0000 eV per atom. The space group is Pmn2_1 (31). For the magnetization, the calculation gives 0.000 Bohr magnetons per cell.

Cell: 5.584 6.674 6.687 Å, 90.00 90.00 90.00°
Fractional positions:
Cl  0.905  0.522  0.461
Cl  0.465  0.386  0.201
Cl  0.905  0.522  0.941
Cl  0.405  0.831  0.441
Cl  0.405  0.831  0.961
Cl  0.965  0.966  0.701
Se  0.419  0.382  0.701
Se  0.919  0.971  0.201
Re  0.684  0.697  0.201
Re  0.184  0.655  0.701

---

Compound: ReSe2Cl
Source: Alexandria via LeMat-Bulk
Functional: GGA-PBE
Structure: optimized geometry

Output
The density of states at the Fermi level comes out at 3.213 states/eV/cell. As for the final energy: -5.258 eV per atom. The polymorph energy (0 for the lowest one) comes out at 0.1736 eV per atom. The space group is R-3m (166). For the magnetization, the calculation gives 1.325 Bohr magnetons per cell.

Cell: 8.192 8.192 8.192 Å, 25.97 25.97 25.97°
Site moments in Bohr magnetons follow the coordinates.
Fractional positions:
Cl  0.000  0.000  0.000  -0.01
Se  0.892  0.892  0.892  0.03
Se  0.108  0.108  0.108  0.03
Re  0.500  0.500  0.500  1.14

---

Compound: ReSe4Cl
Source: Alexandria via LeMat-Bulk
Functional: GGA-PBE
Structure: optimized geometry

Output
The density of states at the Fermi level comes out at 3.559 states/eV/cell. As for the final energy: -3.579 eV per atom. The polymorph energy (0 for the lowest one) comes out at 1.2770 eV per atom. The space group is F-43m (216). For the magnetization, the calculation gives 4.264 Bohr magnetons per cell.

Cell: 5.654 5.654 5.654 Å, 60.00 60.00 60.00°
Site moments in Bohr magnetons follow the coordinates.
Fractional positions:
Se  0.878  0.374  0.374  -0.01
Se  0.374  0.374  0.374  -0.01
Se  0.374  0.374  0.878  -0.01
Se  0.374  0.878  0.374  -0.01
Re  0.000  0.000  0.000  3.62
Cl  0.750  0.750  0.750  0.06

---

Compound: ReSe2Cl
Source: Alexandria via LeMat-Bulk
Functional: GGA-PBE
Structure: optimized geometry

Output
The density of states at the Fermi level comes out at 0.999 states/eV/cell. As for the final energy: -5.351 eV per atom. The polymorph energy (0 for the lowest one) comes out at 0.0802 eV per atom. The space group is C2/m (12). For the magnetization, the calculation gives 0.000 Bohr magnetons per cell.

Cell: 3.370 3.370 8.134 Å, 78.15 78.15 59.96°
Fractional positions:
Cl  0.750  0.750  0.750
Se  0.514  0.514  0.460
Se  0.986  0.986  0.040
Re  0.250  0.250  0.250

---

Compound: ReSeCl3
Source: Alexandria via LeMat-Bulk
Functional: GGA-PBE
Structure: optimized geometry

Output
The density of states at the Fermi level comes out at 1.164 states/eV/cell. As for the final energy: -3.208 eV per atom. The polymorph energy (0 for the lowest one) comes out at 1.3878 eV per atom. The space group is Pm-3m (221). For the magnetization, the calculation gives 5.943 Bohr magnetons per cell.

Cell: 5.177 5.177 5.177 Å, 90.00 90.00 90.00°
Site moments in Bohr magnetons follow the coordinates.
Fractional positions:
Se  0.000  0.000  0.000  -0.02
Cl  0.500  0.000  0.000  0.05
Cl  0.000  0.500  0.000  0.09
Cl  0.000  0.000  0.500  0.06
Re  0.500  0.500  0.500  4.53

---

Compound: ReSe2Cl
Source: Alexandria via LeMat-Bulk
Functional: GGA-PBE
Structure: optimized geometry

Output
The density of states at the Fermi level comes out at 4.191 states/eV/cell. As for the final energy: -4.396 eV per atom. The polymorph energy (0 for the lowest one) comes out at 1.0351 eV per atom. The space group is Cmmm (65). For the magnetization, the calculation gives 0.005 Bohr magnetons per cell.

Cell: 5.026 5.026 3.277 Å, 90.00 90.00 119.49°
Fractional positions:
Re  0.000  0.500  0.500
Cl  0.500  0.000  0.500
Se  0.000  0.000  0.000
Se  0.500  0.500  0.000

---

Compound: ReSe2Cl
Source: Alexandria via LeMat-Bulk
Functional: GGA-PBE
Structure: optimized geometry

Output
The density of states at the Fermi level comes out at 4.264 states/eV/cell. As for the final energy: -4.811 eV per atom. The polymorph energy (0 for the lowest one) comes out at 0.6199 eV per atom. The space group is R-3m (166). For the magnetization, the calculation gives 0.000 Bohr magnetons per cell.

Cell: 12.124 12.124 12.124 Å, 13.44 13.44 13.44°
Fractional positions:
Re  0.000  0.000  0.000
Se  0.931  0.931  0.931
Se  0.069  0.069  0.069
Cl  0.500  0.500  0.500

---

Compound: ReSe2Cl
Source: Alexandria via LeMat-Bulk
Functional: GGA-PBE
Structure: optimized geometry

Output
The density of states at the Fermi level comes out at 2.423 states/eV/cell. As for the final energy: -5.135 eV per atom. The polymorph energy (0 for the lowest one) comes out at 0.2960 eV per atom. The space group is Imm2 (44). For the magnetization, the calculation gives 0.000 Bohr magnetons per cell.

Cell: 7.153 7.153 7.153 Å, 154.85 141.70 46.37°
Fractional positions:
Se  0.724  0.224  0.500
Se  0.113  0.113  0.000
Cl  0.406  0.406  0.000
Re  0.257  0.757  0.500

---

- magnetization of number 6 (ReSe4Cl)?
  4.264 Bohr magnetons per cell

---

- What is the magnetization in the fifth record?
  1.325 Bohr magnetons per cell

---

- The highest final energy belongs to which entry?
  number 8